[1]
{"formula": "KMgI2Cl", "functional": "SCAN", "state": "single point on PBEsol structure", "lattice": [[5.392, 0.000, 0.000], [0.000, 5.392, 0.000], [0.000, 0.000, 15.281]], "species": ["K", "Mg", "I", "I", "Cl"], "fractional_positions": [[0.000, 0.000, 0.000], [0.000, 0.000, 0.500], [0.000, 0.500, 0.500], [0.500, 0.000, 0.500], [0.500, 0.500, 0.000]], "dft_energy_ev_per_atom": -19.97}



[2]
{"formula": "K2I2ClO6", "functional": "SCAN", "state": "single point on PBEsol structure", "lattice": [[15.146, 0.000, 0.000], [0.000, 6.902, 0.000], [0.000, 0.000, 7.748]], "species": ["K", "K", "K", "K", "K", "K", "K", "K", "I", "I", "I", "I", "I", "I", "I", "I", "Cl", "Cl", "Cl", "Cl", "O", "O", "O", "O", "O", "O", "O", "O", "O", "O", "O", "O", "O", "O", "O", "O", "O", "O", "O", "O", "O", "O", "O", "O"], "fractional_positions": [[0.036, 0.026, 0.000], [0.247, 0.408, 0.056], [0.253, 0.408, 0.556], [0.464, 0.026, 0.500], [0.536, 0.974, 0.000], [0.747, 0.592, 0.056], [0.753, 0.592, 0.556], [0.964, 0.974, 0.500], [0.046, 0.520, 0.285], [0.234, 0.927, 0.312], [0.266, 0.927, 0.812], [0.454, 0.520, 0.785], [0.546, 0.480, 0.285], [0.734, 0.073, 0.312], [0.766, 0.073, 0.812], [0.954, 0.480, 0.785], [0.115, 0.695, 0.754], [0.385, 0.695, 0.254], [0.615, 0.305, 0.754], [0.885, 0.305, 0.254], [0.010, 0.264, 0.714], [0.067, 0.400, 0.081], [0.128, 0.043, 0.338], [0.161, 0.613, 0.325], [0.198, 0.141, 0.798], [0.228, 0.870, 0.056], [0.272, 0.870, 0.556], [0.302, 0.141, 0.298], [0.339, 0.613, 0.825], [0.372, 0.043, 0.838], [0.433, 0.400, 0.581], [0.490, 0.264, 0.214], [0.510, 0.736, 0.714], [0.567, 0.600, 0.081], [0.628, 0.957, 0.338], [0.661, 0.387, 0.325], [0.698, 0.859, 0.798], [0.728, 0.130, 0.056], [0.772, 0.130, 0.556], [0.802, 0.859, 0.298], [0.839, 0.387, 0.825], [0.872, 0.957, 0.838], [0.933, 0.600, 0.581], [0.990, 0.736, 0.214]], "dft_energy_ev_per_atom": -13.21}



[3]
{"formula": "LaI3Cl", "functional": "SCAN", "state": "single point on PBEsol structure", "lattice": [[6.172, 0.000, 0.000], [0.000, 6.172, 0.000], [0.000, 0.000, 6.172]], "species": ["La", "I", "I", "I", "Cl"], "fractional_positions": [[0.000, 0.000, 0.000], [0.000, 0.000, 0.500], [0.000, 0.500, 0.000], [0.500, 0.000, 0.000], [0.500, 0.500, 0.500]], "dft_energy_ev_per_atom": -33.25}



[4]
{"formula": "La2ICl2", "functional": "SCAN", "state": "single point on PBEsol structure", "lattice": [[-2.279, 2.279, 6.907], [2.279, -2.279, 6.907], [2.279, 2.279, -6.907]], "species": ["La", "La", "I", "Cl", "Cl"], "fractional_positions": [[0.119, 0.119, 0.000], [0.881, 0.881, 0.000], [0.500, 0.500, 0.000], [0.250, 0.750, 0.500], [0.750, 0.250, 0.500]], "dft_energy_ev_per_atom": -29.39}



[5]
{"formula": "La2ICl", "functional": "SCAN", "state": "single point on PBEsol structure", "lattice": [[0.000, 3.762, 3.762], [3.762, 0.000, 3.762], [3.762, 3.762, 0.000]], "species": ["La", "La", "I", "Cl"], "fractional_positions": [[0.250, 0.250, 0.250], [0.750, 0.750, 0.750], [0.000, 0.000, 0.000], [0.500, 0.500, 0.500]], "dft_energy_ev_per_atom": -33.97}



[6]
{"formula": "LaZr2ICl", "functional": "SCAN", "state": "single point on PBEsol structure", "lattice": [[4.742, 0.000, 0.000], [0.000, 4.742, 0.000], [0.000, 0.000, 5.588]], "species": ["La", "Zr", "Zr", "I", "Cl"], "fractional_positions": [[0.000, 0.000, 0.000], [0.000, 0.500, 0.500], [0.500, 0.000, 0.500], [0.500, 0.500, 0.000], [0.000, 0.000, 0.500]], "dft_energy_ev_per_atom": -30.00}



[7]
{"formula": "LiTeI2Cl", "functional": "SCAN", "state": "single point on PBEsol structure", "lattice": [[5.732, 0.000, 0.000], [0.000, 5.732, 0.000], [0.000, 0.000, 5.291]], "species": ["Li", "Te", "I", "I", "Cl"], "fractional_positions": [[0.000, 0.000, 0.000], [0.500, 0.500, 0.000], [0.000, 0.500, 0.500], [0.500, 0.000, 0.500], [0.500, 0.500, 0.500]], "relative_energy_mev_per_atom": 66}



[8]
{"formula": "LiTeI2Cl", "functional": "SCAN", "state": "single point on PBEsol structure", "lattice": [[5.104, 0.000, 0.000], [0.000, 5.104, 0.000], [0.000, 0.000, 5.196]], "species": ["Li", "Te", "I", "I", "Cl"], "fractional_positions": [[0.000, 0.000, 0.000], [0.000, 0.000, 0.500], [0.000, 0.500, 0.000], [0.500, 0.000, 0.000], [0.500, 0.500, 0.500]], "relative_energy_mev_per_atom": 0}



[9]
{"formula": "MgPICl2", "functional": "SCAN", "state": "single point on PBEsol structure", "lattice": [[5.320, 0.000, 0.000], [0.000, 5.320, 0.000], [0.000, 0.000, 5.226]], "species": ["Mg", "P", "I", "Cl", "Cl"], "fractional_positions": [[0.000, 0.000, 0.000], [0.500, 0.500, 0.000], [0.500, 0.500, 0.500], [0.000, 0.500, 0.500], [0.500, 0.000, 0.500]], "dft_energy_ev_per_atom": -13.16}



[10]
{"formula": "MgTeI2Cl", "functional": "SCAN", "state": "single point on PBEsol structure", "lattice": [[5.406, 0.000, 0.000], [0.000, 5.406, 0.000], [0.000, 0.000, 5.590]], "species": ["Mg", "Te", "I", "I", "Cl"], "fractional_positions": [[0.000, 0.000, 0.000], [0.000, 0.000, 0.500], [0.000, 0.500, 0.000], [0.500, 0.000, 0.000], [0.500, 0.500, 0.500]], "dft_energy_ev_per_atom": -24.83}



[11]
{"formula": "MnPbI2Cl", "functional": "SCAN", "state": "single point on PBEsol structure", "lattice": [[5.675, 0.000, 0.000], [0.000, 5.675, 0.000], [0.000, 0.000, 4.617]], "species": ["Mn", "Pb", "I", "I", "Cl"], "fractional_positions": [[0.000, 0.000, 0.000], [0.500, 0.500, 0.500], [0.000, 0.500, 0.000], [0.500, 0.000, 0.000], [0.000, 0.000, 0.500]], "dft_energy_ev_per_atom": -35.66}



[12]
{"formula": "MnTe2ICl", "functional": "SCAN", "state": "single point on PBEsol structure", "lattice": [[5.288, 0.000, 0.000], [0.000, 5.288, 0.000], [0.000, 0.000, 5.527]], "species": ["Mn", "Te", "Te", "I", "Cl"], "fractional_positions": [[0.000, 0.000, 0.000], [0.000, 0.500, 0.500], [0.500, 0.000, 0.500], [0.500, 0.500, 0.000], [0.500, 0.500, 0.500]], "dft_energy_ev_per_atom": -26.82}



no.,magnetization (μB per formula unit)
1,0.000
2,0.000
3,1.007
4,2.270
5,0.000
6,0.000
7,0.000
8,0.000
9,0.000
10,1.190
11,4.080
12,5.270